[1]
First-principles (GGA-PBE) data for K2ScTl after structural relaxation, as listed in Alexandria via LeMat-Bulk.

Its polymorph energy (0 for the lowest one) is 101 meV per atom. The calculated volume comes out at 44.115 Å³ per atom. For the formation energy, the calculation gives 0.192 eV per atom.

abc: 9.8536 3.7556 9.5895
angles: 90.00 96.01 90.00
With the nearest neighbours (Å) after each atom.
Space group Cm (No. 8)
Unique sites:
1 K 0.0000 0.0000 0.0000 [2 per cell]  3 Tl 3.67-3.87, 2 K 3.76, 2 Sc 3.85
2 K 0.2141 0.0000 0.6217 [2 per cell]  3 Sc 3.73-4.02, 2 K 3.76, 2 Tl 3.96
3 Sc 0.4492 0.0000 0.3408 [2 per cell]  3 Tl 2.90-2.95
4 Tl 0.2242 0.5000 0.2595 [2 per cell]  3 Sc 2.90-2.95


[2]
First-principles (GGA-PBE) data for KScTl2 after structural relaxation, as listed in Alexandria via LeMat-Bulk.

Its polymorph energy (0 for the lowest one) is 143 meV per atom. The calculated volume comes out at 30.180 Å³ per atom. For the formation energy, the calculation gives 0.001 eV per atom.

abc: 3.6093 3.6093 32.1019
angles: 90.00 90.00 120.00
With the nearest neighbours (Å) after each atom.
Space group R3m (No. 160, hexagonal axes)
Unique sites:
1 K 0.0000 0.0000 0.0000 [3 per cell]  6 K 3.61, 6 Tl 3.64-3.65
2 Sc 0.0000 0.0000 0.1672 [3 per cell]  6 Tl 3.14-3.15
3 Tl 0.0000 0.0000 0.5739 [3 per cell]  3 Sc 3.14
4 Tl 0.0000 0.0000 0.7602 [3 per cell]  3 Sc 3.15


[3]
First-principles (GGA-PBE) data for K2ScTl after structural relaxation, as listed in Alexandria via LeMat-Bulk.

Its polymorph energy (0 for the lowest one) is 287 meV per atom. The calculated volume comes out at 37.348 Å³ per atom. For the formation energy, the calculation gives 0.379 eV per atom.

abc: 3.6339 3.6339 39.1889
angles: 90.00 90.00 120.00
With the nearest neighbours (Å) after each atom.
Space group R-3m (No. 166, hexagonal axes)
Unique sites:
1 K 0.0000 0.0000 0.2462 [6 per cell]  6 K 3.63, 3 Tl 3.76, 3 Sc 4.01
2 Sc 0.0000 0.0000 0.0000 [3 per cell]  6 Sc 3.63, 6 K 4.01
3 Tl 0.0000 0.0000 0.5000 [3 per cell]  6 Tl 3.63, 6 K 3.76


[4]
First-principles (GGA-PBE) data for KScTl2 after structural relaxation, as listed in Alexandria via LeMat-Bulk.

Its polymorph energy (0 for the lowest one) is 212 meV per atom. The calculated volume comes out at 29.322 Å³ per atom. For the formation energy, the calculation gives 0.070 eV per atom.

abc: 12.2921 3.3938 5.7527
angles: 90.00 102.19 90.00
With the nearest neighbours (Å) after each atom.
Space group Cm (No. 8)
Unique sites:
1 K 0.0000 0.0000 0.0000 [2 per cell]  7 Tl 3.29-3.41, 2 K 3.39
2 Sc 0.2759 0.5000 0.4392 [2 per cell]  7 Tl 3.15-3.48, 2 Sc 3.39
3 Tl 0.0276 0.5000 0.5008 [2 per cell]  3 Sc 3.15-3.48, 4 K 3.30-3.41, 2 Tl 3.39
4 Tl 0.2562 0.0000 0.9148 [2 per cell]  4 Sc 3.27-3.43, 3 K 3.29-3.39, 2 Tl 3.39


[5]
First-principles (GGA-PBE) data for K2ScTl after structural relaxation, as listed in Alexandria via LeMat-Bulk.

Its polymorph energy (0 for the lowest one) is 0 meV per atom. The calculated volume comes out at 44.433 Å³ per atom. For the formation energy, the calculation gives 0.091 eV per atom.

abc: 21.1235 3.7210 4.6322
angles: 90.00 102.50 90.00
With the nearest neighbours (Å) after each atom.
Space group C2/m (No. 12)
Unique sites:
1 K 0.1570 0.0000 0.1535 [4 per cell]  2 K 3.72, 2 Tl 3.73, 2 Sc 3.98-3.99
2 Sc 0.0000 0.0000 0.5000 [2 per cell]  4 Tl 2.97
3 Tl 0.0000 0.5000 0.0000 [2 per cell]  4 Sc 2.97


[6]
First-principles (GGA-PBE) data for KSc3V after structural relaxation, as listed in Alexandria via LeMat-Bulk.

Its polymorph energy (0 for the lowest one) is 992 meV per atom. The calculated volume comes out at 23.468 Å³ per atom. For the formation energy, the calculation gives 1.610 eV per atom.

abc: 4.8957 4.8957 4.8957
angles: 90.00 90.00 90.00
With the nearest neighbours (Å) after each atom.
Space group Pm-3m (No. 221)
Unique sites:
1 K 0.0000 0.0000 0.0000 [1 per cell]  6 Sc 2.45
2 Sc 0.0000 0.0000 0.5000 [3 per cell]  2 K 2.45
3 V 0.5000 0.5000 0.5000 [1 per cell]  12 Sc 3.46